Computed, not measured: a relaxed Mg2InTc crystal at the PBE-GGA level of DFT.

- D(E_F) (states/eV per cell) = 2.25
- VASP energy (eV per atom) = -3.832

The structure in POSCAR format:
```
Mg2InTc
1.0
-6.574 4.710 5.209
-8.319 3.939 2.796
-7.918 1.945 5.104
Mg In Tc
2 1 1
Cartesian
-11.564 5.370 6.645
-22.652 10.520 13.018
-17.108 7.945 9.832
-5.703 2.648 3.277
```

***

Computed, not measured: a relaxed Tb2Nd2Dy4Er crystal at the PBE-GGA level of DFT.

- D(E_F) (states/eV per cell) = 11.99
- VASP energy (eV per atom) = -4.641

The structure in POSCAR format:
```
Tb2Nd2Dy4Er
1.0
-2.433 2.270 1.385
-2.328 -8.083 4.467
7.039 5.042 4.097
Tb Dy Er Nd
2 4 1 2
Cartesian
3.623 1.297 4.236
-1.345 -2.067 5.713
0.999 2.554 2.258
1.229 0.111 6.664
1.279 -3.324 7.691
1.049 -0.881 3.285
0.000 0.000 0.000
4.646 3.878 6.492
-2.369 -4.648 3.458
```

***

Computed, not measured: a relaxed TbThRhSe crystal at the PBE-GGA level of DFT.

- formation energy without anion corrections (eV per atom) = -1.132
- D(E_F) (states/eV per cell) = 2.52
- VASP energy (eV per atom) = -6.854

The structure in POSCAR format:
```
TbThRhSe
1.0
-1.894 -3.353 0.907
2.190 1.837 2.735
-5.504 5.616 0.633
Th Tb Se Rh
1 1 1 1
Cartesian
-4.016 4.780 2.279
-3.052 -0.463 2.172
1.165 2.008 2.857
-4.047 2.171 1.196
```

***

Computed, not measured: a relaxed HfClO crystal at the PBE-GGA level of DFT.

- formation energy without anion corrections (eV per atom) = -2.146
- D(E_F) (states/eV per cell) = 0.38
- VASP energy (eV per atom) = -7.732

The structure in POSCAR format:
```
HfClO
1.0
-0.675 2.734 -1.807
-2.326 -1.272 2.043
2.079 3.531 4.565
Hf O Cl
1 1 1
Cartesian
-0.641 2.392 0.760
0.300 0.509 0.659
-0.581 2.092 3.382
```

***

Computed, not measured: a relaxed BeAlTl2Tc crystal at the PBE-GGA level of DFT.

- D(E_F) (states/eV per cell) = 3.38
- VASP energy (eV per atom) = -3.466

The structure in POSCAR format:
```
BeAlTl2Tc
1.0
4.940 0.000 0.000
0.000 4.403 0.000
0.000 0.000 4.940
Tl Al Tc Be
2 1 1 1
Cartesian
2.470 0.000 0.000
0.000 0.000 2.470
0.000 2.201 0.000
2.470 2.201 2.470
0.000 0.000 0.000
```

***

Computed, not measured: a relaxed Pm3Tm3Cd crystal at the PBE-GGA level of DFT.

- D(E_F) (states/eV per cell) = 21.59
- VASP energy (eV per atom) = -4.122

The structure in POSCAR format:
```
Pm3Tm3Cd
1.0
-3.530 -1.434 4.011
3.479 -8.792 -0.082
3.797 6.538 5.680
Tm Pm Cd
6 6 2
Cartesian
5.301 -3.646 5.270
-1.555 -0.042 4.339
2.194 -7.213 1.260
1.552 3.525 8.349
0.611 -1.262 1.995
3.134 -2.426 7.614
-0.045 -5.943 3.559
2.461 -5.494 5.925
1.284 1.806 3.684
0.396 -2.838 5.057
3.791 2.255 6.050
3.349 -0.850 4.552
1.044 0.353 6.768
2.702 -4.041 2.841
```